The following is a DFT calculation (PBE-GGA) of crystalline RbGeOsS5 at its relaxed geometry.

Computed properties:
Space-group type = P-1

abc: 6.687 7.147 9.310
angles: 70.40 80.13 77.40
Fractional positions:
Os (0.783, 0.999, 0.993)
S (0.211, 0.898, 0.280)
S (0.547, 0.799, 0.981)
S (0.940, 0.258, 0.993)
S (0.789, 0.102, 0.720)
Os (0.217, 0.001, 0.007)
Rb (0.586, 0.363, 0.299)
Rb (0.414, 0.637, 0.701)
S (0.934, 0.621, 0.635)
Ge (0.975, 0.705, 0.374)
S (0.310, 0.122, 0.721)
S (0.060, 0.742, 0.007)
S (0.690, 0.878, 0.279)
Ge (0.025, 0.295, 0.626)
S (0.453, 0.201, 0.019)
S (0.066, 0.379, 0.365)

---

The following is a DFT calculation (PBE-GGA) of crystalline Rb4GeOsSe6 at its relaxed geometry.

Computed properties:
Space-group type = P1

abc: 7.088 7.848 9.468
angles: 71.43 69.01 64.12
Fractional positions:
Se (0.776, 0.489, 0.489)
Rb (0.164, 0.972, 0.683)
Rb (0.408, 0.303, 0.875)
Se (0.684, 0.882, 0.728)
Se (0.115, 0.679, 0.090)
Rb (0.594, 0.686, 0.126)
Os (0.124, 0.443, 0.314)
Rb (0.817, 0.051, 0.326)
Se (0.882, 0.316, 0.916)
Se (0.231, 0.508, 0.496)
Ge (0.870, 0.560, 0.692)
Se (0.308, 0.126, 0.273)

---

The following is a DFT calculation (PBE-GGA) of crystalline ReGeOs2 at its relaxed geometry.

Computed properties:
Space-group type = F-43m

abc: 4.367 4.367 4.367
angles: 60.00 60.00 60.00
Fractional positions:
Os (0.000, 0.000, 0.000)
Os (0.750, 0.750, 0.750)
Re (0.250, 0.250, 0.250)
Ge (0.500, 0.500, 0.500)

---

The following is a DFT calculation (PBE-GGA) of crystalline Re2Ge3Os2 at its relaxed geometry.

Computed properties:
Space-group type = R3m

abc: 7.448 7.448 7.448
angles: 32.94 32.94 32.94
Fractional positions:
Ge (0.384, 0.384, 0.384)
Re (0.253, 0.253, 0.253)
Ge (0.867, 0.867, 0.867)
Os (0.993, 0.993, 0.993)
Ge (0.626, 0.626, 0.626)
Re (0.749, 0.749, 0.749)
Os (0.504, 0.504, 0.504)

---

The following is a DFT calculation (PBE-GGA) of crystalline Sc2GeOs at its relaxed geometry.

Computed properties:
Space-group type = F-43m

abc: 4.549 4.549 4.549
angles: 60.00 60.00 60.00
Fractional positions:
Sc (0.750, 0.750, 0.750)
Os (0.250, 0.250, 0.250)
Ge (0.500, 0.500, 0.500)
Sc (0.000, 0.000, 0.000)

---

The following is a DFT calculation (PBE-GGA) of crystalline ScGe2Os at its relaxed geometry.

Computed properties:
Space-group type = F-43m

abc: 4.570 4.570 4.570
angles: 60.00 60.00 60.00
Fractional positions:
Ge (0.500, 0.500, 0.500)
Sc (0.750, 0.750, 0.750)
Ge (0.250, 0.250, 0.250)
Os (0.000, 0.000, 0.000)

---

no.,E_tot (eV per cell),total moment (μB/f.u.)
1,-81.7,0.276
2,-49.3,0.004
3,-37.5,0.025
4,-57.5,0.033
5,-30.1,0.000
6,-26.9,0.006